[1]
# TbPr2Pu | the Alexandria database | PBE-GGA | relaxed
# Calculated total energy = -27.90 eV/cell
# Magnetization = 6.26 μB per cell
# Calculated formation energy = 155.3 meV per atom
# Energy above the lowest structure with this stoichiometry = 36 meV/atom
data_TbPr2Pu
_cell_length_a 5.095
_cell_length_b 5.095
_cell_length_c 5.056
_cell_angle_alpha 90.00
_cell_angle_beta 90.00
_cell_angle_gamma 90.00
_symmetry_space_group_name_H-M 'P 4/m m m'
_symmetry_Int_Tables_number 123
_symmetry_space_group_name_Hall '-P 4 2'
loop_
_atom_site_label
_atom_site_type_symbol
_atom_site_fract_x
_atom_site_fract_y
_atom_site_fract_z
Tb1 Tb 0.000 0.000 0.000
Pr1 Pr 0.000 0.500 0.500
Pu1 Pu 0.500 0.500 0.000



[2]
# Tb4Pr8Pu | the Alexandria database | PBE-GGA | relaxed
# Calculated total energy = -196.19 eV/cell
# Magnetization = 23.40 μB per cell
# Calculated formation energy = 437.9 meV per atom
data_Tb4Pr8Pu
_cell_length_a 11.9083
_cell_length_b 11.9083
_cell_length_c 11.6123
_cell_angle_alpha 90.00
_cell_angle_beta 90.00
_cell_angle_gamma 120.00
_symmetry_space_group_name_H-M 'R -3 m'
_symmetry_Int_Tables_number 166
_symmetry_space_group_name_Hall '-R 3 2"'
loop_
_atom_site_label
_atom_site_type_symbol
_atom_site_fract_x
_atom_site_fract_y
_atom_site_fract_z
Tb1 Tb 0.0000 0.0000 0.0000
Tb2 Tb 0.0000 0.5000 0.0000
Pr1 Pr 0.0000 0.0000 0.2480
Pr2 Pr 0.0000 0.5000 0.3278
Pu1 Pu 0.0000 0.0000 0.5000